Entry 1:
Entry from Alexandria via LeMat-Bulk: La2CdNiHg after structural relaxation (PBE-GGA).

a = 5.342 Å, b = 5.342 Å, c = 4.983 Å
α = 90.00°, β = 90.00°, γ = 90.00°
Positions (direct):
La: 0.000 0.500 0.000
La: 0.500 0.000 0.000
Cd: 0.000 0.000 0.500
Ni: 0.000 0.000 0.000
Hg: 0.500 0.500 0.500

As for the density: 7.6 g/cm3. The total energy is -18.3 eV for the cell shown. The symmetry is No. 123.

=====

Entry 2:
Entry from Alexandria via LeMat-Bulk: LaCdNiHg after structural relaxation (PBE-GGA).

a = 5.047 Å, b = 5.047 Å, c = 5.047 Å
α = 60.00°, β = 60.00°, γ = 60.00°
Positions (direct):
La: 0.000 0.000 0.000
Cd: 0.500 0.500 0.500
Ni: 0.750 0.750 0.750
Hg: 0.250 0.250 0.250

As for the density: 9.3 g/cm3. The total energy is -12.7 eV for the cell shown. The symmetry is No. 216.

=====

Entry 3:
Entry from Alexandria via LeMat-Bulk: La2CdNiHg after structural relaxation (PBE-GGA).

a = 5.348 Å, b = 5.348 Å, c = 4.994 Å
α = 90.00°, β = 90.00°, γ = 90.00°
Positions (direct):
La: 0.000 0.500 0.000
La: 0.500 0.000 0.000
Cd: 0.000 0.000 0.500
Ni: 0.500 0.500 0.000
Hg: 0.500 0.500 0.500

As for the density: 7.5 g/cm3. The total energy is -18.1 eV for the cell shown. The symmetry is No. 123.

=====

Entry 4:
Entry from Alexandria via LeMat-Bulk: LaCdHg2P after structural relaxation (PBE-GGA).

a = 5.163 Å, b = 5.163 Å, c = 5.130 Å
α = 90.00°, β = 90.00°, γ = 90.00°
Positions (direct):
La: 0.000 0.000 0.000
Cd: 0.500 0.500 0.000
Hg: 0.000 0.500 0.500
Hg: 0.500 0.000 0.500
P: 0.500 0.500 0.500

As for the density: 8.3 g/cm3. The total energy is -11.4 eV for the cell shown. The symmetry is No. 123.